# 1
# Sc3AlNi3

Sc3AlNi3 after structural relaxation (GGA-PBE, Alexandria).

a = 4.0669 Å, b = 9.2209 Å, c = 12.3048 Å
α = 90.00°, β = 90.00°, γ = 90.00°
Space group Cmcm (No. 63)
Unique sites:
1 Sc 0.0000 0.0180 0.2500 x4
2 Sc 0.0000 0.2984 0.1066 x8
3 Al 0.0000 0.0000 0.0000 x4
4 Ni 0.0000 0.2657 0.7500 x4
5 Ni 0.0000 0.4123 0.5907 x8

Properties
Calculated volume   16.48 A^3/atom
Formation enthalpy at 0 K   -0.54 eV per atom
Magnetic moment   0.00 μB per cell

# 2
# ScAl2Ni

ScAl2Ni after structural relaxation (GGA-PBE, Alexandria).

a = 2.9546 Å, b = 2.9546 Å, c = 7.1331 Å
α = 90.00°, β = 90.00°, γ = 90.00°
Space group P4/mmm (No. 123)
Unique sites:
1 Sc 0.0000 0.0000 0.0000 x1
2 Al 0.5000 0.5000 0.3025 x2
3 Ni 0.0000 0.0000 0.5000 x1

Properties
Calculated volume   15.57 A^3/atom
Formation enthalpy at 0 K   -0.54 eV per atom
Magnetic moment   0.34 μB per cell

# 3
# Sc4AlNi

Sc4AlNi after structural relaxation (GGA-PBE, Alexandria).

a = 4.5104 Å, b = 4.5104 Å, c = 6.7238 Å
α = 90.00°, β = 90.00°, γ = 90.00°
Space group P4/mmm (No. 123)
Unique sites:
1 Sc 0.0000 0.5000 0.2283 x4
2 Al 0.0000 0.0000 0.5000 x1
3 Ni 0.5000 0.5000 0.0000 x1

Properties
Calculated volume   22.80 A^3/atom
Formation enthalpy at 0 K   -0.08 eV per atom
Polymorph energy (0 for the lowest one)   292 meV/atom
Magnetic moment   0.00 μB per cell

# 4
# Sc2Al5Ni3

Sc2Al5Ni3 after structural relaxation (GGA-PBE, Alexandria).

a = 4.0637 Å, b = 24.0471 Å, c = 6.3020 Å
α = 90.00°, β = 90.00°, γ = 90.00°
Space group Cmc2_1 (No. 36)
Unique sites:
1 Sc 0.0000 0.0203 0.0000 x4
2 Sc 0.0000 0.3258 0.0550 x4
3 Al 0.0000 0.0977 0.3631 x4
4 Al 0.0000 0.2075 0.8574 x4
5 Al 0.0000 0.2119 0.2695 x4
6 Al 0.0000 0.3736 0.5247 x4
7 Al 0.0000 0.4454 0.1735 x4
8 Ni 0.0000 0.1087 0.7524 x4
9 Ni 0.0000 0.2736 0.5670 x4
10 Ni 0.0000 0.4542 0.7792 x4

Properties
Calculated volume   15.40 A^3/atom
Formation enthalpy at 0 K   -0.60 eV per atom
Magnetic moment   0.00 μB per cell

# 5
# ScAl4Ni5

ScAl4Ni5 after structural relaxation (GGA-PBE, Alexandria).

a = 2.9346 Å, b = 2.9346 Å, c = 14.8877 Å
α = 90.00°, β = 90.00°, γ = 90.00°
Space group P4/mmm (No. 123)
Unique sites:
1 Sc 0.0000 0.0000 0.0000 x1
2 Al 0.0000 0.0000 0.2145 x2
3 Al 0.0000 0.0000 0.4056 x2
4 Ni 0.5000 0.5000 0.1231 x2
5 Ni 0.5000 0.5000 0.3121 x2
6 Ni 0.5000 0.5000 0.5000 x1

Properties
Calculated volume   12.82 A^3/atom
Formation enthalpy at 0 K   -0.62 eV per atom
Magnetic moment   0.00 μB per cell

# 6
# ScAl2Ni5

ScAl2Ni5 after structural relaxation (GGA-PBE, Alexandria).

a = 3.3631 Å, b = 6.6116 Å, c = 9.6916 Å
α = 90.00°, β = 90.00°, γ = 90.00°
Space group Immm (No. 71)
Unique sites:
1 Sc 0.0000 0.0000 0.0000 x2
2 Al 0.0000 0.5000 0.2456 x4
3 Ni 0.0000 0.1996 0.3710 x8
4 Ni 0.0000 0.5000 0.0000 x2

Properties
Calculated volume   13.47 A^3/atom
Formation enthalpy at 0 K   -0.37 eV per atom
Magnetic moment   0.00 μB per cell

# 7
# Sc5AlNi6

Sc5AlNi6 after structural relaxation (GGA-PBE, Alexandria).

a = 14.0318 Å, b = 6.2023 Å, c = 4.4298 Å
α = 90.00°, β = 108.21°, γ = 90.00°
Space group C2/m (No. 12)
Unique sites:
1 Sc 0.0000 0.0000 0.0000 x2
2 Sc 0.1620 0.5000 0.6618 x4
3 Sc 0.1688 0.0000 0.6690 x4
4 Al 0.0000 0.5000 0.0000 x2
5 Ni 0.0000 0.2520 0.5000 x4
6 Ni 0.1620 0.2544 0.1626 x8

Properties
Calculated volume   15.26 A^3/atom
Formation enthalpy at 0 K   -0.52 eV per atom
Magnetic moment   0.00 μB per cell

# 8
# Sc12AlNi5

Sc12AlNi5 after structural relaxation (GGA-PBE, Alexandria).

a = 8.7232 Å, b = 8.7570 Å, c = 9.2348 Å
α = 90.00°, β = 90.00°, γ = 90.00°
Space group Immm (No. 71)
Unique sites:
1 Sc 0.0000 0.1939 0.2265 x8
2 Sc 0.2026 0.5000 0.1756 x8
3 Sc 0.2166 0.3169 0.5000 x8
4 Al 0.0000 0.0000 0.5000 x2
5 Ni 0.0000 0.0000 0.0000 x2
6 Ni 0.0000 0.3538 0.0000 x4
7 Ni 0.0000 0.5000 0.3719 x4

Properties
Calculated volume   19.60 A^3/atom
Formation enthalpy at 0 K   -0.37 eV per atom
Magnetic moment   0.00 μB per cell